# 1
DFT (PBE) results for crystalline AcGdPd4 at its relaxed geometry.

For the formation energy from the elements, the calculation gives -0.769 eV/atom. The energy comes out at -174.3 eV/cell.

It has space group F-43m (No. 216), with a = 7.885 Å, b = 7.885 Å, c = 7.885 Å, α = 90.00°, β = 90.00° and γ = 90.00°. The inequivalent atoms are Ac at (0.000, 0.000, 0.000), Gd at (0.250, 0.250, 0.250) and Pd at (0.125, 0.125, 0.625).

=====

# 2
DFT (PBE) results for crystalline Eu2InPt at its relaxed geometry.

For the formation energy from the elements, the calculation gives -0.677 eV/atom. The energy comes out at -32.0 eV/cell. The distance to the lowest polymorph of the same formula comes out at 0 meV per atom.

It has space group P4/mmm (No. 123), with a = 3.605 Å, b = 3.605 Å, c = 8.284 Å, α = 90.00°, β = 90.00° and γ = 90.00°. The inequivalent atoms are Eu at (0.000, 0.000, 0.212), In at (0.500, 0.500, 0.500) and Pt at (0.500, 0.500, 0.000).

=====

# 3
DFT (PBE) results for crystalline TiClO at its relaxed geometry.

The value obtained for the uncorrected formation energy is -53.2 kcal/mol of atoms. The energy comes out at -43.2 eV/cell.

It has space group Pmmn (No. 59, origin choice 2), with a = 3.256 Å, b = 4.000 Å, c = 8.323 Å, α = 90.00°, β = 90.00° and γ = 90.00°. The inequivalent atoms are Ti at (0.250, 0.250, 0.087), Cl at (0.250, 0.750, 0.698) and O at (0.250, 0.750, 0.074).

=====

Q: Among the records above, which one has the lowest energy?
A: AcGdPd4

=====

Q: energy of number 2 (Eu2InPt)?
A: -32.0 eV/cell

=====

Q: The highest energy belongs to which entry?
A: Eu2InPt